The following is a GGA-PBE calculation of an optimized crystal structure of Ta2ZnIr, from Alexandria via LeMat-Bulk.

```
Ta2ZnIr
1.0
-8.539 1.738 -3.644
-9.282 -0.263 -1.729
-9.066 2.482 -0.925
Ir Ta Zn
1 2 1
Direct
0.750 0.750 0.750
0.003 0.003 0.003
0.497 0.497 0.497
0.250 0.250 0.250
```

Its total energy is -8.540 eV per atom. Its formation energy is -0.080 eV per atom. The theoretical density is 15.53 g cm⁻³. For the total magnetization, the calculation gives 0.00 μB/f.u.